(1)
Here is a relaxed structure of NdZnCd4 from Alexandria. Energies are from GGA-PBE.

abc: 5.9002 5.9002 5.9002
angles: 60.00 60.00 60.00
With the nearest neighbours (Å) after each atom.
Fractional positions:
Nd (0.0000, 0.0000, 0.0000)  12 Cd 3.46, 4 Zn 3.61
Zn (0.7500, 0.7500, 0.7500)  12 Cd 3.46, 4 Nd 3.61
Cd (0.3748, 0.3748, 0.3748)  6 Cd 2.95
Cd (0.3748, 0.3748, 0.8755)  6 Cd 2.95
Cd (0.3748, 0.8755, 0.3748)  6 Cd 2.95
Cd (0.8755, 0.3748, 0.3748)  6 Cd 2.95

Summary:
Polymorph energy (0 for the lowest one) in meV/atom: 109
Formation enthalpy at 0 K in eV per atom: -0.023
Calculated volume in Å³ per atom: 24.21
Symmetry: No. 216



(2)
Here is a relaxed structure of NdZnCd from Alexandria. Energies are from GGA-PBE.

abc: 3.8827 3.8827 12.4701
angles: 90.00 90.00 120.00
With the nearest neighbours (Å) after each atom.
Fractional positions:
Nd (0.3333, 0.6667, 0.3788)  3 Zn 3.07
Nd (0.6667, 0.3333, 0.6212)  3 Zn 3.07
Zn (0.3333, 0.6667, 0.7899)  3 Cd 2.77, 3 Nd 3.07
Zn (0.6667, 0.3333, 0.2101)  3 Cd 2.77, 3 Nd 3.07
Cd (0.3333, 0.6667, 0.0792)  3 Zn 2.77, 3 Cd 2.99
Cd (0.6667, 0.3333, 0.9208)  3 Zn 2.77, 3 Cd 2.99

Summary:
Formation enthalpy at 0 K in eV per atom: 0.037
Calculated volume in Å³ per atom: 27.13
Symmetry: No. 164



(3)
Here is a relaxed structure of NdZnCd2 from Alexandria. Energies are from GGA-PBE.

abc: 7.1682 7.1682 7.1682
angles: 90.00 90.00 90.00
With the nearest neighbours (Å) after each atom.
Fractional positions:
Nd (0.0000, 0.0000, 0.0000)  8 Cd 3.10
Nd (0.0000, 0.5000, 0.5000)  8 Cd 3.10
Nd (0.5000, 0.0000, 0.5000)  8 Cd 3.10
Nd (0.5000, 0.5000, 0.0000)  8 Cd 3.10
Zn (0.0000, 0.0000, 0.5000)  8 Cd 3.10
Zn (0.0000, 0.5000, 0.0000)  8 Cd 3.10
Zn (0.5000, 0.0000, 0.0000)  8 Cd 3.10
Zn (0.5000, 0.5000, 0.5000)  8 Cd 3.10
Cd (0.2500, 0.2500, 0.2500)  4 Nd 3.10, 4 Zn 3.10
Cd (0.2500, 0.2500, 0.7500)  4 Nd 3.10, 4 Zn 3.10
Cd (0.2500, 0.7500, 0.2500)  4 Nd 3.10, 4 Zn 3.10
Cd (0.2500, 0.7500, 0.7500)  4 Nd 3.10, 4 Zn 3.10
Cd (0.7500, 0.2500, 0.2500)  4 Nd 3.10, 4 Zn 3.10
Cd (0.7500, 0.2500, 0.7500)  4 Nd 3.10, 4 Zn 3.10
Cd (0.7500, 0.7500, 0.2500)  4 Nd 3.10, 4 Zn 3.10
Cd (0.7500, 0.7500, 0.7500)  4 Nd 3.10, 4 Zn 3.10

Summary:
Formation enthalpy at 0 K in eV per atom: -0.214
Calculated volume in Å³ per atom: 23.02
Symmetry: No. 225



(4)
Here is a relaxed structure of Nd3Zn2Cd4 from Alexandria. Energies are from GGA-PBE.

abc: 6.0444 6.0444 9.2163
angles: 115.14 115.14 48.15
With the nearest neighbours (Å) after each atom.
Fractional positions:
Nd (0.0000, 0.0000, 0.0000)  8 Cd 3.29-3.39, 4 Zn 3.34, 2 Nd 3.54
Nd (0.3327, 0.3327, 0.3383)  8 Cd 3.28-3.43, 4 Zn 3.30-3.36, 2 Nd 3.50-3.54
Nd (0.6673, 0.6673, 0.6617)  8 Cd 3.28-3.43, 4 Zn 3.30-3.36, 2 Nd 3.50-3.54
Zn (0.3930, 0.3930, 0.7246)  3 Cd 2.79-2.82
Zn (0.6070, 0.6070, 0.2754)  3 Cd 2.79-2.82
Cd (0.0544, 0.0544, 0.3828)  2 Zn 2.82, 1 Cd 2.92
Cd (0.2810, 0.2810, 0.9408)  1 Zn 2.79, 2 Cd 2.90
Cd (0.7190, 0.7190, 0.0592)  1 Zn 2.79, 2 Cd 2.90
Cd (0.9456, 0.9456, 0.6172)  2 Zn 2.82, 1 Cd 2.92

Summary:
Formation enthalpy at 0 K in eV per atom: -0.321
Calculated volume in Å³ per atom: 24.67
Symmetry: No. 12



(5)
Here is a relaxed structure of Nd4ZnCd from Alexandria. Energies are from GGA-PBE.

abc: 5.1654 5.1654 7.4570
angles: 90.00 90.00 90.00
With the nearest neighbours (Å) after each atom.
Fractional positions:
Nd (0.0000, 0.5000, 0.2358)  2 Zn 3.12, 2 Cd 3.25
Nd (0.0000, 0.5000, 0.7642)  2 Zn 3.12, 2 Cd 3.25
Nd (0.5000, 0.0000, 0.2358)  2 Zn 3.12, 2 Cd 3.25
Nd (0.5000, 0.0000, 0.7642)  2 Zn 3.12, 2 Cd 3.25
Zn (0.0000, 0.0000, 0.0000)  8 Nd 3.12
Cd (0.5000, 0.5000, 0.5000)  8 Nd 3.25

Summary:
Polymorph energy (0 for the lowest one) in meV/atom: 251
Formation enthalpy at 0 K in eV per atom: 0.057
Calculated volume in Å³ per atom: 33.16
Symmetry: No. 123



(6)
Here is a relaxed structure of Nd3Zn9Cd2 from Alexandria. Energies are from GGA-PBE.

abc: 8.5039 8.5039 8.5039
angles: 148.98 116.42 72.43
With the nearest neighbours (Å) after each atom.
Fractional positions:
Nd (0.0000, 0.0000, 0.0000)  12 Zn 3.18-3.42
Nd (0.2931, 0.2931, 0.0000)  12 Zn 3.14-3.29, 2 Cd 3.30
Nd (0.7069, 0.7069, 0.0000)  12 Zn 3.14-3.29, 2 Cd 3.30
Zn (0.0242, 0.6629, 0.3613)  4 Zn 2.49-2.76, 1 Cd 2.72
Zn (0.1352, 0.8567, 0.2785)  4 Zn 2.61-2.79
Zn (0.3017, 0.6629, 0.6387)  4 Zn 2.49-2.76, 1 Cd 2.72
Zn (0.4218, 0.1433, 0.2785)  4 Zn 2.61-2.79
Zn (0.5000, 0.0000, 0.5000)  4 Zn 2.79, 4 Cd 2.83
Zn (0.5782, 0.8567, 0.7215)  4 Zn 2.61-2.79
Zn (0.6983, 0.3371, 0.3613)  4 Zn 2.49-2.76, 1 Cd 2.72
Zn (0.8648, 0.1433, 0.7215)  4 Zn 2.61-2.79
Zn (0.9758, 0.3371, 0.6387)  4 Zn 2.49-2.76, 1 Cd 2.72
Cd (0.3125, 0.5000, 0.8125)  8 Zn 2.72-3.02
Cd (0.6875, 0.5000, 0.1875)  8 Zn 2.72-3.02

Summary:
Formation enthalpy at 0 K in eV per atom: -0.314
Calculated volume in Å³ per atom: 19.97
Symmetry: No. 71



(7)
Here is a relaxed structure of Nd2ZnCd from Alexandria. Energies are from GGA-PBE.

abc: 7.5516 7.5516 7.5516
angles: 90.00 90.00 90.00
With the nearest neighbours (Å) after each atom.
Fractional positions:
Nd (0.2500, 0.2500, 0.2500)  4 Cd 3.27, 4 Zn 3.27
Nd (0.2500, 0.2500, 0.7500)  4 Cd 3.27, 4 Zn 3.27
Nd (0.2500, 0.7500, 0.2500)  4 Cd 3.27, 4 Zn 3.27
Nd (0.2500, 0.7500, 0.7500)  4 Cd 3.27, 4 Zn 3.27
Nd (0.7500, 0.2500, 0.2500)  4 Cd 3.27, 4 Zn 3.27
Nd (0.7500, 0.2500, 0.7500)  4 Cd 3.27, 4 Zn 3.27
Nd (0.7500, 0.7500, 0.2500)  4 Cd 3.27, 4 Zn 3.27
Nd (0.7500, 0.7500, 0.7500)  4 Cd 3.27, 4 Zn 3.27
Zn (0.0000, 0.0000, 0.0000)  8 Nd 3.27
Zn (0.0000, 0.5000, 0.5000)  8 Nd 3.27
Zn (0.5000, 0.0000, 0.5000)  8 Nd 3.27
Zn (0.5000, 0.5000, 0.0000)  8 Nd 3.27
Cd (0.0000, 0.0000, 0.5000)  8 Nd 3.27
Cd (0.0000, 0.5000, 0.0000)  8 Nd 3.27
Cd (0.5000, 0.0000, 0.0000)  8 Nd 3.27
Cd (0.5000, 0.5000, 0.5000)  8 Nd 3.27

Summary:
Polymorph energy (0 for the lowest one) in meV/atom: 23
Formation enthalpy at 0 K in eV per atom: -0.295
Calculated volume in Å³ per atom: 26.92
Symmetry: No. 225



(8)
Here is a relaxed structure of Nd8ZnCd2 from Alexandria. Energies are from GGA-PBE.

abc: 9.5967 9.5967 6.7931
angles: 91.52 91.52 33.22
With the nearest neighbours (Å) after each atom.
Fractional positions:
Nd (0.0323, 0.0323, 0.2621)  2 Zn 3.25, 2 Cd 3.35-3.42, 2 Nd 3.47-3.51
Nd (0.2110, 0.2110, 0.0926)  1 Cd 3.20, 5 Nd 3.36-3.56
Nd (0.3287, 0.3287, 0.5944)  3 Cd 3.23-3.33, 1 Zn 3.23, 2 Nd 3.56
Nd (0.4082, 0.4082, 0.0935)  1 Zn 3.20, 2 Cd 3.44
Nd (0.5918, 0.5918, 0.9065)  1 Zn 3.20, 2 Cd 3.44
Nd (0.6713, 0.6713, 0.4056)  3 Cd 3.23-3.33, 1 Zn 3.23, 2 Nd 3.56
Nd (0.7890, 0.7890, 0.9074)  1 Cd 3.20, 5 Nd 3.36-3.56
Nd (0.9677, 0.9677, 0.7379)  2 Zn 3.25, 2 Cd 3.35-3.42, 2 Nd 3.47-3.51
Zn (0.5000, 0.5000, 0.5000)  8 Nd 3.20-3.25
Cd (0.1495, 0.1495, 0.6478)  8 Nd 3.20-3.44
Cd (0.8505, 0.8505, 0.3522)  8 Nd 3.20-3.44

Summary:
Polymorph energy (0 for the lowest one) in meV/atom: 0
Formation enthalpy at 0 K in eV per atom: -0.148
Calculated volume in Å³ per atom: 31.15
Symmetry: No. 12